Entry 1:
The following is a PBE calculation of crystalline ScIn2Pt at its relaxed geometry, from Alexandria.

Unit cell a=3.4472 b=3.4472 c=25.7593 alpha=90.00 beta=90.00 gamma=120.00
Space group R-3m (No. 166, hexagonal axes)
Symmetry-distinct sites (fractional):
Sc 0.0000 0.0000 0.0000 [3 per cell]
In 0.0000 0.0000 0.2408 [6 per cell]
Pt 0.0000 0.0000 0.5000 [3 per cell]

Entry 2:
The following is a PBE calculation of crystalline ScIn2Pt at its relaxed geometry, from Alexandria.

Unit cell a=9.225 b=3.620 c=5.222 alpha=90.00 beta=106.33 gamma=90.00
Space group C2/m (No. 12)
Symmetry-distinct sites (fractional):
Sc 0.000 0.000 0.000 [2 per cell]
In 0.236 0.000 0.722 [4 per cell]
Pt 0.000 0.500 0.500 [2 per cell]

Entry 3:
The following is a PBE calculation of crystalline ScIn2Pt2 at its relaxed geometry, from Alexandria.

For the relative energy among the computed polymorphs, the calculation gives 141 meV per atom.

Unit cell a=7.048 b=7.048 c=4.027 alpha=90.00 beta=90.00 gamma=90.00
Space group P4/mbm (No. 127)
Symmetry-distinct sites (fractional):
Sc 0.000 0.000 0.000 [2 per cell]
In 0.167 0.333 0.500 [4 per cell]
Pt 0.138 0.638 0.000 [4 per cell]

Entry 4:
The following is a PBE calculation of crystalline ScIn2Pt9 at its relaxed geometry, from Alexandria.

Unit cell a=4.035 b=4.035 c=12.100 alpha=90.00 beta=90.00 gamma=90.00
Space group P4/mmm (No. 123)
Symmetry-distinct sites (fractional):
Sc 0.000 0.000 0.000 [1 per cell]
In 0.000 0.000 0.333 [2 per cell]
Pt 0.000 0.500 0.163 [4 per cell]
Pt 0.000 0.500 0.500 [2 per cell]
Pt 0.500 0.500 0.000 [1 per cell]
Pt 0.500 0.500 0.331 [2 per cell]

Entry 5:
The following is a PBE calculation of crystalline ScInPt2 at its relaxed geometry, from Alexandria.

Unit cell a=3.412 b=3.541 c=5.959 alpha=90.00 beta=90.00 gamma=90.00
Space group Pmmm (No. 47)
Symmetry-distinct sites (fractional):
Sc 0.000 0.000 0.000 [1 per cell]
In 0.000 0.000 0.500 [1 per cell]
Pt 0.500 0.500 0.246 [2 per cell]

Entry 6:
The following is a PBE calculation of crystalline ScInPt2 at its relaxed geometry, from Alexandria.

Unit cell a=6.597 b=6.597 c=6.597 alpha=90.00 beta=90.00 gamma=90.00
Space group F-43m (No. 216)
Symmetry-distinct sites (fractional):
Sc 0.000 0.000 0.000 [4 per cell]
In 0.250 0.250 0.250 [4 per cell]
Pt 0.000 0.000 0.500 [4 per cell]
Pt 0.250 0.250 0.750 [4 per cell]

Entry 7:
The following is a PBE calculation of crystalline ScIn3Pt3 at its relaxed geometry, from Alexandria.

Unit cell a=8.174 b=8.174 c=8.174 alpha=90.00 beta=90.00 gamma=90.00
Space group P2_13 (No. 198)
Symmetry-distinct sites (fractional):
Sc 0.060 0.440 0.560 [4 per cell]
In 0.088 0.588 0.912 [4 per cell]
In 0.133 0.867 0.367 [4 per cell]
In 0.197 0.197 0.197 [4 per cell]
Pt 0.047 0.253 0.858 [12 per cell]

Entry 8:
The following is a PBE calculation of crystalline ScIn2Pt at its relaxed geometry, from Alexandria.

Unit cell a=4.399 b=4.399 c=8.295 alpha=90.00 beta=90.00 gamma=90.00
Space group I-4m2 (No. 119)
Symmetry-distinct sites (fractional):
Sc 0.000 0.000 0.000 [2 per cell]
In 0.000 0.000 0.500 [2 per cell]
In 0.000 0.500 0.250 [2 per cell]
Pt 0.000 0.500 0.750 [2 per cell]

| no. | formation energy (eV/atom) | magnetization (μB per cell) | energy (eV/atom) |
| --- | --- | --- | --- |
| 1 | -0.2801 | 0.00 | -4.7424 |
| 2 | -0.4369 | 0.00 | -4.8992 |
| 3 | -0.6352 | 0.00 | -5.4132 |
| 4 | -0.6119 | 0.00 | -6.1265 |
| 5 | -0.8980 | 0.00 | -6.1859 |
| 6 | -0.6582 | 0.00 | -5.9461 |
| 7 | -0.6134 | 0.00 | -5.2805 |
| 8 | -0.5124 | 0.00 | -4.9748 |